A relaxed structure of LiSc2Cl8. Source: Alexandria via LeMat-Bulk, functional PBE-GGA.

Structure (CIF):
```
data_LiSc2Cl8
_symmetry_space_group_name_H-M 'C 1 2/m 1'
_symmetry_Int_Tables_number 12
_cell_length_a 11.1646
_cell_length_b 9.8192
_cell_length_c 6.2182
_cell_angle_alpha 90.00
_cell_angle_beta 101.53
_cell_angle_gamma 90.00
loop_
_symmetry_equiv_pos_as_xyz
'x,y,z'
'-x,-y,-z'
'-x,y,-z'
'x,-y,z'
'x+1/2,y+1/2,z'
'-x+1/2,-y+1/2,-z'
'-x+1/2,y+1/2,-z'
'x+1/2,-y+1/2,z'
loop_
_atom_site_label
_atom_site_fract_x
_atom_site_fract_y
_atom_site_fract_z
Li1 0.0000 0.0000 0.0000
Sc1 0.2258 0.0000 0.4637
Cl1 0.0844 0.5000 0.6813
Cl2 0.1093 0.1792 0.2832
Cl3 0.2117 0.0000 0.8341
```

Output
For the uncorrected formation energy, the calculation gives -1682.4 meV per atom. The energy is -4.35 eV per atom.